Record 1
# H3SeCl

H3SeCl after structural relaxation (PBE, the Alexandria database).

Summary:
- Magnetic moment: 0.000 μB/f.u.
- Mass density: 2316 kg/m³
- Total DFT energy (no corrections): -3.28 eV/atom
- Crystal system: trigonal
- E above lowest polymorph: 0.0 kJ/mol of atoms

```
data_H3SeCl
_chemical_formula_sum 'H3 Se1 Cl1'
_cell_length_a 4.5948
_cell_length_b 4.5948
_cell_length_c 4.5948
_cell_angle_alpha 71.12
_cell_angle_beta 71.12
_cell_angle_gamma 71.12
_space_group_name_H-M_alt 'P 1'
_space_group_IT_number 1
loop_
_space_group_symop_operation_xyz
'x,y,z'
loop_
_atom_site_label
_atom_site_type_symbol
_atom_site_fract_x
_atom_site_fract_y
_atom_site_fract_z
H1 H 0.0521 0.4740 0.4740
H2 H 0.4740 0.0521 0.4740
H3 H 0.4740 0.4740 0.0521
Se1 Se 0.2515 0.2515 0.2515
Cl1 Cl 0.7640 0.7640 0.7640
```

Record 2
# ZnSeI2N

ZnSeI2N after structural relaxation (PBE, the Alexandria database).

Summary:
- Magnetic moment: 0.000 μB/f.u.
- Mass density: 5555 kg/m³
- Total DFT energy (no corrections): -2.27 eV/atom
- Crystal system: tetragonal
- E above lowest polymorph: 13.1 kJ/mol of atoms

```
data_ZnSeI2N
_chemical_formula_sum 'Zn1 Se1 I2 N1'
_cell_length_a 5.7629
_cell_length_b 5.7629
_cell_length_c 3.7100
_cell_angle_alpha 90.00
_cell_angle_beta 90.00
_cell_angle_gamma 90.00
_space_group_name_H-M_alt 'P 1'
_space_group_IT_number 1
loop_
_space_group_symop_operation_xyz
'x,y,z'
loop_
_atom_site_label
_atom_site_type_symbol
_atom_site_fract_x
_atom_site_fract_y
_atom_site_fract_z
Zn1 Zn 0.0000 0.0000 0.0000
Se1 Se 0.5000 0.5000 0.5000
I1 I 0.0000 0.5000 0.0000
I2 I 0.5000 0.0000 0.0000
N1 N 0.0000 0.0000 0.5000
```

Record 3
# LiH2Au

LiH2Au after structural relaxation (PBE, the Alexandria database).

Summary:
- Magnetic moment: 0.000 μB/f.u.
- Mass density: 8000 kg/m³
- Total DFT energy (no corrections): -3.22 eV/atom
- Crystal system: hexagonal
- E above lowest polymorph: 0.0 kJ/mol of atoms

```
data_LiH2Au
_chemical_formula_sum 'Li2 H4 Au2'
_cell_length_a 3.2172
_cell_length_b 3.2172
_cell_length_c 9.5364
_cell_angle_alpha 90.00
_cell_angle_beta 90.00
_cell_angle_gamma 120.00
_space_group_name_H-M_alt 'P 1'
_space_group_IT_number 1
loop_
_space_group_symop_operation_xyz
'x,y,z'
loop_
_atom_site_label
_atom_site_type_symbol
_atom_site_fract_x
_atom_site_fract_y
_atom_site_fract_z
Li1 Li 0.0000 0.0000 0.0000
Li2 Li 0.0000 0.0000 0.5000
H1 H 0.3333 0.6667 0.0756
H2 H 0.3333 0.6667 0.4244
H3 H 0.6667 0.3333 0.5756
H4 H 0.6667 0.3333 0.9244
Au1 Au 0.3333 0.6667 0.2500
Au2 Au 0.6667 0.3333 0.7500
```

Record 4
# MgTiBi2

MgTiBi2 after structural relaxation (PBE, the Alexandria database).

Summary:
- Magnetic moment: 0.425 μB/f.u.
- Mass density: 8302 kg/m³
- Total DFT energy (no corrections): -4.35 eV/atom
- Crystal system: tetragonal

```
data_MgTiBi2
_chemical_formula_sum 'Mg1 Ti1 Bi2'
_cell_length_a 3.7161
_cell_length_b 3.7161
_cell_length_c 7.0994
_cell_angle_alpha 90.00
_cell_angle_beta 90.00
_cell_angle_gamma 90.00
_space_group_name_H-M_alt 'P 1'
_space_group_IT_number 1
loop_
_space_group_symop_operation_xyz
'x,y,z'
loop_
_atom_site_label
_atom_site_type_symbol
_atom_site_fract_x
_atom_site_fract_y
_atom_site_fract_z
Mg1 Mg 0.0000 0.0000 0.0000
Ti1 Ti 0.0000 0.0000 0.5000
Bi1 Bi 0.5000 0.5000 0.2715
Bi2 Bi 0.5000 0.5000 0.7285
```

Record 5
# SrInGeSe2

SrInGeSe2 after structural relaxation (PBE, the Alexandria database).

Summary:
- Magnetic moment: 0.868 μB/f.u.
- Mass density: 4223 kg/m³
- Total DFT energy (no corrections): -2.93 eV/atom
- Crystal system: tetragonal
- E above lowest polymorph: 5.0 kJ/mol of atoms

```
data_SrInGeSe2
_chemical_formula_sum 'Sr1 In1 Ge1 Se2'
_cell_length_a 5.2745
_cell_length_b 5.2745
_cell_length_c 6.1206
_cell_angle_alpha 90.00
_cell_angle_beta 90.00
_cell_angle_gamma 90.00
_space_group_name_H-M_alt 'P 1'
_space_group_IT_number 1
loop_
_space_group_symop_operation_xyz
'x,y,z'
loop_
_atom_site_label
_atom_site_type_symbol
_atom_site_fract_x
_atom_site_fract_y
_atom_site_fract_z
Sr1 Sr 0.0000 0.0000 0.0000
In1 In 0.0000 0.0000 0.5000
Ge1 Ge 0.5000 0.5000 0.0000
Se1 Se 0.0000 0.5000 0.5000
Se2 Se 0.5000 0.0000 0.5000
```

Record 6
# La2AsH

La2AsH after structural relaxation (PBE, the Alexandria database).

Summary:
- Magnetic moment: 0.000 μB/f.u.
- Mass density: 6008 kg/m³
- Total DFT energy (no corrections): -5.39 eV/atom
- Crystal system: trigonal
- E above lowest polymorph: 0.0 kJ/mol of atoms

```
data_La2AsH
_chemical_formula_sum 'La2 As1 H1'
_cell_length_a 6.9270
_cell_length_b 6.9270
_cell_length_c 6.9270
_cell_angle_alpha 35.02
_cell_angle_beta 35.02
_cell_angle_gamma 35.02
_space_group_name_H-M_alt 'P 1'
_space_group_IT_number 1
loop_
_space_group_symop_operation_xyz
'x,y,z'
loop_
_atom_site_label
_atom_site_type_symbol
_atom_site_fract_x
_atom_site_fract_y
_atom_site_fract_z
La1 La 0.2447 0.2447 0.2447
La2 La 0.7553 0.7553 0.7553
As1 As 0.0000 0.0000 0.0000
H1 H 0.5000 0.5000 0.5000
```

Record 7
# V2NiPt3

V2NiPt3 after structural relaxation (PBE, the Alexandria database).

Summary:
- Magnetic moment: 0.000 μB/f.u.
- Mass density: 14056 kg/m³
- Total DFT energy (no corrections): -7.26 eV/atom
- Crystal system: monoclinic
- E above lowest polymorph: 19.1 kJ/mol of atoms

```
data_V2NiPt3
_chemical_formula_sum 'V4 Ni2 Pt6'
_cell_length_a 7.1248
_cell_length_b 7.1248
_cell_length_c 10.2344
_cell_angle_alpha 113.91
_cell_angle_beta 113.91
_cell_angle_gamma 21.86
_space_group_name_H-M_alt 'P 1'
_space_group_IT_number 1
loop_
_space_group_symop_operation_xyz
'x,y,z'
loop_
_atom_site_label
_atom_site_type_symbol
_atom_site_fract_x
_atom_site_fract_y
_atom_site_fract_z
V1 V 0.1274 0.1274 0.4427
V2 V 0.3145 0.3145 0.1101
V3 V 0.6855 0.6855 0.8899
V4 V 0.8726 0.8726 0.5573
Ni1 Ni 0.0649 0.0649 0.6380
Ni2 Ni 0.9351 0.9351 0.3620
Pt1 Pt 0.1142 0.1142 0.0514
Pt2 Pt 0.2604 0.2604 0.3315
Pt3 Pt 0.4803 0.4803 0.7892
Pt4 Pt 0.5197 0.5197 0.2108
Pt5 Pt 0.7396 0.7396 0.6685
Pt6 Pt 0.8858 0.8858 0.9486
```

Record 8
# Na3ThU2Te6

Na3ThU2Te6 after structural relaxation (PBE, the Alexandria database).

Summary:
- Magnetic moment: 6.956 μB/f.u.
- Mass density: 6557 kg/m³
- Total DFT energy (no corrections): -5.28 eV/atom
- Crystal system: monoclinic

```
data_Na3ThU2Te6
_chemical_formula_sum 'Na3 Th1 U2 Te6'
_cell_length_a 7.6409
_cell_length_b 7.6409
_cell_length_c 8.1357
_cell_angle_alpha 99.00
_cell_angle_beta 99.00
_cell_angle_gamma 120.00
_space_group_name_H-M_alt 'P 1'
_space_group_IT_number 1
loop_
_space_group_symop_operation_xyz
'x,y,z'
loop_
_atom_site_label
_atom_site_type_symbol
_atom_site_fract_x
_atom_site_fract_y
_atom_site_fract_z
Na1 Na 0.0000 0.0000 0.0000
Na2 Na 0.3346 0.6654 0.0000
Na3 Na 0.6654 0.3346 0.0000
Th1 Th 0.5000 0.5000 0.5000
U1 U 0.1668 0.8332 0.5000
U2 U 0.8332 0.1668 0.5000
Te1 Te 0.0843 0.4198 0.2596
Te2 Te 0.2442 0.2442 0.7400
Te3 Te 0.4198 0.0843 0.2596
Te4 Te 0.5802 0.9157 0.7404
Te5 Te 0.7558 0.7558 0.2600
Te6 Te 0.9157 0.5802 0.7404
```

Record 9
# Er4Zn5Ga2

Er4Zn5Ga2 after structural relaxation (PBE, the Alexandria database).

Summary:
- Magnetic moment: 0.000 μB/f.u.
- Mass density: 8134 kg/m³
- Total DFT energy (no corrections): -3.14 eV/atom
- Crystal system: monoclinic

```
data_Er4Zn5Ga2
_chemical_formula_sum 'Er4 Zn5 Ga2'
_cell_length_a 7.0331
_cell_length_b 3.7096
_cell_length_c 8.8971
_cell_angle_alpha 90.00
_cell_angle_beta 92.90
_cell_angle_gamma 90.00
_space_group_name_H-M_alt 'P 1'
_space_group_IT_number 1
loop_
_space_group_symop_operation_xyz
'x,y,z'
loop_
_atom_site_label
_atom_site_type_symbol
_atom_site_fract_x
_atom_site_fract_y
_atom_site_fract_z
Er1 Er 0.1850 0.0000 0.3759
Er2 Er 0.2655 0.0000 0.9281
Er3 Er 0.7345 0.0000 0.0719
Er4 Er 0.8150 0.0000 0.6241
Zn1 Zn 0.1853 0.5000 0.6499
Zn2 Zn 0.4407 0.5000 0.1978
Zn3 Zn 0.5000 0.5000 0.5000
Zn4 Zn 0.5593 0.5000 0.8022
Zn5 Zn 0.8147 0.5000 0.3501
Ga1 Ga 0.0613 0.5000 0.1358
Ga2 Ga 0.9387 0.5000 0.8642
```

Record 10
# Sm2Pa2Se2S5

Sm2Pa2Se2S5 after structural relaxation (PBE, the Alexandria database).

Summary:
- Magnetic moment: 0.560 μB/f.u.
- Mass density: 5294 kg/m³
- Total DFT energy (no corrections): -6.69 eV/atom
- Crystal system: tetragonal

```
data_Sm2Pa2Se2S5
_chemical_formula_sum 'Sm2 Pa2 Se2 S5'
_cell_length_a 12.6539
_cell_length_b 12.6539
_cell_length_c 12.6539
_cell_angle_alpha 155.84
_cell_angle_beta 155.84
_cell_angle_gamma 34.43
_space_group_name_H-M_alt 'P 1'
_space_group_IT_number 1
loop_
_space_group_symop_operation_xyz
'x,y,z'
loop_
_atom_site_label
_atom_site_type_symbol
_atom_site_fract_x
_atom_site_fract_y
_atom_site_fract_z
Sm1 Sm 0.1639 0.1639 0.0000
Sm2 Sm 0.8361 0.8361 0.0000
Pa1 Pa 0.3924 0.3924 0.0000
Pa2 Pa 0.6076 0.6076 0.0000
Se1 Se 0.2797 0.2797 0.0000
Se2 Se 0.7203 0.7203 0.0000
S1 S 0.1161 0.6161 0.5000
S2 S 0.3839 0.8839 0.5000
S3 S 0.5000 0.5000 0.0000
S4 S 0.6161 0.1161 0.5000
S5 S 0.8839 0.3839 0.5000
```

Record 11
# Li5Ag2Rh

Li5Ag2Rh after structural relaxation (PBE, the Alexandria database).

Summary:
- Magnetic moment: 0.000 μB/f.u.
- Mass density: 4916 kg/m³
- Total DFT energy (no corrections): -2.97 eV/atom
- Crystal system: tetragonal

```
data_Li5Ag2Rh
_chemical_formula_sum 'Li5 Ag2 Rh1'
_cell_length_a 6.8256
_cell_length_b 6.8256
_cell_length_c 6.8256
_cell_angle_alpha 142.06
_cell_angle_beta 142.06
_cell_angle_gamma 54.74
_space_group_name_H-M_alt 'P 1'
_space_group_IT_number 1
loop_
_space_group_symop_operation_xyz
'x,y,z'
loop_
_atom_site_label
_atom_site_type_symbol
_atom_site_fract_x
_atom_site_fract_y
_atom_site_fract_z
Li1 Li 0.0000 0.0000 0.0000
Li2 Li 0.1198 0.6198 0.5000
Li3 Li 0.3802 0.8802 0.5000
Li4 Li 0.6198 0.1198 0.5000
Li5 Li 0.8802 0.3802 0.5000
Ag1 Ag 0.2585 0.2585 0.0000
Ag2 Ag 0.7415 0.7415 0.0000
Rh1 Rh 0.5000 0.5000 0.0000
```

Record 12
# TlZnGaGe2

TlZnGaGe2 after structural relaxation (PBE, the Alexandria database).

Summary:
- Magnetic moment: 0.000 μB/f.u.
- Mass density: 6218 kg/m³
- Total DFT energy (no corrections): -2.62 eV/atom
- Crystal system: tetragonal

```
data_TlZnGaGe2
_chemical_formula_sum 'Tl1 Zn1 Ga1 Ge2'
_cell_length_a 4.8929
_cell_length_b 4.8929
_cell_length_c 5.4075
_cell_angle_alpha 90.00
_cell_angle_beta 90.00
_cell_angle_gamma 90.00
_space_group_name_H-M_alt 'P 1'
_space_group_IT_number 1
loop_
_space_group_symop_operation_xyz
'x,y,z'
loop_
_atom_site_label
_atom_site_type_symbol
_atom_site_fract_x
_atom_site_fract_y
_atom_site_fract_z
Tl1 Tl 0.0000 0.0000 0.0000
Zn1 Zn 0.0000 0.0000 0.5000
Ga1 Ga 0.5000 0.5000 0.0000
Ge1 Ge 0.0000 0.5000 0.5000
Ge2 Ge 0.5000 0.0000 0.5000
```

Among the records above, which one has the lowest mass density?
H3SeCl

The lowest total DFT energy (no corrections) belongs to which entry?
V2NiPt3

Copy entry 1 word for word.
# H3SeCl

H3SeCl after structural relaxation (PBE, the Alexandria database).

Summary:
- Magnetic moment: 0.000 μB/f.u.
- Mass density: 2316 kg/m³
- Total DFT energy (no corrections): -3.28 eV/atom
- Crystal system: trigonal
- E above lowest polymorph: 0.0 kJ/mol of atoms

```
data_H3SeCl
_chemical_formula_sum 'H3 Se1 Cl1'
_cell_length_a 4.5948
_cell_length_b 4.5948
_cell_length_c 4.5948
_cell_angle_alpha 71.12
_cell_angle_beta 71.12
_cell_angle_gamma 71.12
_space_group_name_H-M_alt 'P 1'
_space_group_IT_number 1
loop_
_space_group_symop_operation_xyz
'x,y,z'
loop_
_atom_site_label
_atom_site_type_symbol
_atom_site_fract_x
_atom_site_fract_y
_atom_site_fract_z
H1 H 0.0521 0.4740 0.4740
H2 H 0.4740 0.0521 0.4740
H3 H 0.4740 0.4740 0.0521
Se1 Se 0.2515 0.2515 0.2515
Cl1 Cl 0.7640 0.7640 0.7640
```

total DFT energy (no corrections) of number 7 (V2NiPt3)?
-7.26 eV/atom